VASP calculation (GGA-PBE) on crystalline LaSc2O at its relaxed geometry.

V, Å³ per cell: 78.1
Magnetic moment, μB/atom: 0.302
N(E_F), states/eV/f.u.: 5.5
Calculated density, g cm⁻³: 5.2
Formation energy without anion corrections, eV per atom: -0.80

a b c (Å): 2.996 2.996 8.704
angles (deg): 90.00 90.00 90.00
Atoms (fractional coordinates):
La 0.000 0.000 0.000
Sc 0.500 0.500 0.338
Sc 0.500 0.500 0.662
O 0.000 0.000 0.500